[1]
Entry from OQMD via LeMat-Bulk: a relaxed structure of Pu3C2 (PBE-GGA).

The structure in extended XYZ format:
```
5
Lattice="1.681 0.971 7.261 -1.681 0.971 7.261 0.000 -1.941 7.261" Properties=species:S:1:pos:R:3 pbc="T T T"
C 0.000 0.000 8.721
C 0.000 0.000 13.061
Pu 0.000 0.000 0.000
Pu 0.000 0.000 4.342
Pu 0.000 0.000 17.440
```

---

[2]
Entry from OQMD via LeMat-Bulk: a relaxed structure of Pu2CSeS (PBE-GGA).

The structure in extended XYZ format:
```
5
Lattice="-0.872 -3.623 0.925 2.528 0.711 -2.801 7.117 -0.077 6.404" Properties=species:S:1:pos:R:3 pbc="T T T"
C 7.109 -0.077 6.396
Pu 1.281 -2.190 0.600
Pu 7.592 -0.801 4.016
S 3.467 -0.756 0.305
Se 5.217 -2.232 4.142
```

---

[3]
Entry from OQMD via LeMat-Bulk: a relaxed structure of Pu2TeCS (PBE-GGA).

The structure in extended XYZ format:
```
5
Lattice="3.793 0.000 0.000 -1.896 3.285 0.000 0.000 0.000 10.177" Properties=species:S:1:pos:R:3 pbc="T T T"
C 0.000 0.000 0.000
Pu 1.896 1.095 1.119
Pu 0.000 2.190 8.679
S 1.896 1.095 7.235
Te 0.000 2.190 3.321
```

---

[4]
Entry from OQMD via LeMat-Bulk: a relaxed structure of PuZr4SbC2 (PBE-GGA).

The structure in extended XYZ format:
```
8
Lattice="3.363 0.000 0.000 -1.682 2.912 0.000 0.000 0.000 15.493" Properties=species:S:1:pos:R:3 pbc="T T T"
C 0.000 1.942 4.114
C 0.000 1.942 11.379
Pu 0.000 0.000 0.000
Sb 1.682 0.971 7.747
Zr 1.682 0.971 2.834
Zr 0.000 0.000 5.370
Zr 0.000 0.000 10.123
Zr 1.682 0.971 12.659
```

---

[5]
Entry from OQMD via LeMat-Bulk: a relaxed structure of Pu2TeCSe (PBE-GGA).

The structure in extended XYZ format:
```
5
Lattice="-1.303 -0.422 -3.527 0.046 -2.953 2.366 -9.842 2.519 3.334" Properties=species:S:1:pos:R:3 pbc="T T T"
C -9.815 2.512 3.324
Pu -1.943 -0.987 -1.194
Pu -8.913 0.068 3.283
Se -7.794 0.511 0.788
Te -3.576 -1.297 1.476
```

---

[6]
Entry from OQMD via LeMat-Bulk: a relaxed structure of PuTaC2 (PBE-GGA).

The structure in extended XYZ format:
```
4
Lattice="-0.514 2.266 2.322 -2.961 -1.290 0.603 1.863 -2.803 3.149" Properties=species:S:1:pos:R:3 pbc="T T T"
C -1.737 0.488 1.463
C 0.931 -1.402 1.574
Pu 0.000 0.000 0.000
Ta -0.806 -0.913 3.037
```

---

[7]
Entry from OQMD via LeMat-Bulk: a relaxed structure of PuTaC2 (PBE-GGA).

The structure in extended XYZ format:
```
4
Lattice="-4.942 -2.168 -2.467 -3.796 -4.531 -0.523 -5.514 -2.060 0.748" Properties=species:S:1:pos:R:3 pbc="T T T"
C -3.434 -2.110 -0.540
C -10.818 -6.649 -1.702
Pu 0.000 0.000 0.000
Ta -7.126 -4.380 -1.121
```

---

[8]
Entry from OQMD via LeMat-Bulk: a relaxed structure of Pu2Tc2C3 (PBE-GGA).

The structure in extended XYZ format:
```
7
Lattice="5.922 -1.627 0.000 5.922 1.627 0.000 -2.375 0.000 5.120" Properties=species:S:1:pos:R:3 pbc="T T T"
C 0.000 0.000 0.000
C 8.284 0.000 1.312
C 1.184 0.000 3.808
Pu 4.241 0.000 0.999
Pu 5.227 0.000 4.122
Tc 1.114 0.000 1.666
Tc 8.354 0.000 3.454
```

---

| no. | electronic total energy (eV/f.u.) |
| --- | --- |
| 1 | -60.43 |
| 2 | -48.61 |
| 3 | -47.60 |
| 4 | -75.46 |
| 5 | -46.57 |
| 6 | -45.42 |
| 7 | -46.01 |
| 8 | -78.04 |